(1)
Er5Tm5Pb6, optimized geometry, DFT PBE-GGA; energy of formation from the pure elements = -0.507 eV/atom; SG = No. 38; magnetic moment = 0.00 μB/f.u.
1.0
6.545 0.000 0.000
0.000 7.759 4.478
0.000 -7.759 4.478
Er Tm Pb
5 5 6
Direct
0.000 0.000 0.000 Er
0.250 0.098 0.431 Er
0.250 0.431 0.098 Er
0.750 0.098 0.431 Er
0.750 0.431 0.098 Er
0.000 0.529 0.765 Tm
0.000 0.765 0.529 Tm
0.500 0.000 0.764 Tm
0.500 0.530 0.530 Tm
0.500 0.764 0.000 Tm
0.000 0.159 0.764 Pb
0.000 0.371 0.371 Pb
0.000 0.764 0.159 Pb
0.500 0.159 0.159 Pb
0.500 0.370 0.764 Pb
0.500 0.764 0.370 Pb

***

(2)
Y2PaIO8, optimized geometry, DFT PBE-GGA; SG = No. 65; magnetic moment = 0.00 μB/f.u.; uncorrected formation energy = -2.593 eV per atom
1.0
3.541 -3.664 0.000
3.541 3.664 0.000
0.000 0.000 6.984
Y Pa I O
2 1 1 8
Direct
0.000 0.000 0.245 Y
0.000 0.000 0.755 Y
0.500 0.500 0.500 Pa
0.500 0.500 0.000 I
0.201 0.201 0.500 O
0.209 0.209 0.000 O
0.316 0.684 0.242 O
0.316 0.684 0.758 O
0.684 0.316 0.242 O
0.684 0.316 0.758 O
0.791 0.791 0.000 O
0.799 0.799 0.500 O

***

(3)
CrTcS2N, optimized geometry, DFT PBE-GGA; SG = No. 123; ΔE to the lowest computed polymorph = 3.84 kcal/mol of atoms; magnetic moment = 4.55 μB/f.u.; uncorrected formation energy = 0.541 eV per atom
1.0
4.680 0.000 0.000
0.000 4.680 0.000
0.000 0.000 3.493
Cr Tc S N
1 1 2 1
Direct
0.000 0.000 0.000 Cr
0.500 0.500 0.500 Tc
0.000 0.500 0.000 S
0.500 0.000 0.000 S
0.000 0.000 0.500 N

***

(4)
ThZr12Bi6, optimized geometry, DFT PBE-GGA; energy of formation from the pure elements = -0.149 eV/atom; SG = No. 148; magnetic moment = 0.00 μB/f.u.
1.0
7.121 4.111 2.664
-7.121 4.111 2.664
0.000 -8.222 2.664
Th Zr Bi
1 12 6
Direct
0.000 0.000 0.000 Th
0.112 0.187 0.734 Zr
0.187 0.734 0.112 Zr
0.208 0.331 0.473 Zr
0.266 0.888 0.813 Zr
0.331 0.473 0.208 Zr
0.473 0.208 0.331 Zr
0.527 0.792 0.669 Zr
0.669 0.527 0.792 Zr
0.734 0.112 0.187 Zr
0.792 0.669 0.527 Zr
0.813 0.266 0.888 Zr
0.888 0.813 0.266 Zr
0.068 0.568 0.348 Bi
0.348 0.068 0.568 Bi
0.432 0.652 0.932 Bi
0.568 0.348 0.068 Bi
0.652 0.932 0.432 Bi
0.932 0.432 0.652 Bi

***

(5)
HfCrSb3, optimized geometry, DFT PBE-GGA; SG = No. 221; ΔE to the lowest computed polymorph = 0.53 kcal/mol of atoms; magnetic moment = 2.82 μB/f.u.; uncorrected formation energy = 0.672 eV per atom
1.0
5.058 0.000 0.000
0.000 5.058 0.000
0.000 0.000 5.058
Hf Cr Sb
1 1 3
Direct
0.000 0.000 0.000 Hf
0.500 0.500 0.500 Cr
0.000 0.500 0.500 Sb
0.500 0.000 0.500 Sb
0.500 0.500 0.000 Sb

***

(6)
NpAs2Pd4, optimized geometry, DFT PBE-GGA; energy of formation from the pure elements = -0.494 eV/atom; SG = No. 136; magnetic moment = 4.02 μB/f.u.
1.0
7.746 0.000 0.000
0.000 7.746 0.000
0.000 0.000 4.087
Np As Pd
2 4 8
Direct
0.000 0.000 0.000 Np
0.500 0.500 0.500 Np
0.216 0.216 0.500 As
0.284 0.716 0.000 As
0.716 0.284 0.000 As
0.784 0.784 0.500 As
0.093 0.657 0.500 Pd
0.157 0.407 0.000 Pd
0.343 0.907 0.500 Pd
0.407 0.157 0.000 Pd
0.593 0.843 0.000 Pd
0.657 0.093 0.500 Pd
0.843 0.593 0.000 Pd
0.907 0.343 0.500 Pd

***

Question: Which of these has the highest magnetic moment?
Answer: CrTcS2N

***

Please write out number 2 again, unchanged.
Y2PaIO8, optimized geometry, DFT PBE-GGA; SG = No. 65; magnetic moment = 0.00 μB/f.u.; uncorrected formation energy = -2.593 eV per atom
1.0
3.541 -3.664 0.000
3.541 3.664 0.000
0.000 0.000 6.984
Y Pa I O
2 1 1 8
Direct
0.000 0.000 0.245 Y
0.000 0.000 0.755 Y
0.500 0.500 0.500 Pa
0.500 0.500 0.000 I
0.201 0.201 0.500 O
0.209 0.209 0.000 O
0.316 0.684 0.242 O
0.316 0.684 0.758 O
0.684 0.316 0.242 O
0.684 0.316 0.758 O
0.791 0.791 0.000 O
0.799 0.799 0.500 O

***

Question: Which of these has the highest magnetic moment?
Answer: CrTcS2N